No. 1
Entry from Alexandria: a geometry-optimized CePrHo2Sb4 structure (GGA-PBE).

Computed properties:
symmetry = P2/m (10)

```
data_CePrHo2Sb4
_chemical_formula_sum 'Ce1 Pr1 Ho2 Sb4'
_cell_length_a 7.693
_cell_length_b 4.450
_cell_length_c 7.712
_cell_angle_alpha 90.00
_cell_angle_beta 109.43
_cell_angle_gamma 90.00
_symmetry_space_group_name_H-M 'P 1'
_symmetry_Int_Tables_number 1
loop_
_symmetry_equiv_pos_as_xyz
'x,y,z'
loop_
_atom_site_label
_atom_site_type_symbol
_atom_site_fract_x
_atom_site_fract_y
_atom_site_fract_z
Ce1 Ce 0.000 0.000 0.000
Pr1 Pr 0.000 0.500 0.500
Ho1 Ho 0.500 0.000 0.500
Ho2 Ho 0.500 0.500 0.000
Sb1 Sb 0.259 0.500 0.251
Sb2 Sb 0.260 0.000 0.756
Sb3 Sb 0.740 0.000 0.244
Sb4 Sb 0.741 0.500 0.749
```

No. 2
Entry from Alexandria: a geometry-optimized LaGe4Sb structure (GGA-PBE).

Computed properties:
symmetry = F-43m (216)

```
data_LaGe4Sb
_chemical_formula_sum 'La1 Ge4 Sb1'
_cell_length_a 5.733
_cell_length_b 5.733
_cell_length_c 5.733
_cell_angle_alpha 60.00
_cell_angle_beta 60.00
_cell_angle_gamma 60.00
_symmetry_space_group_name_H-M 'P 1'
_symmetry_Int_Tables_number 1
loop_
_symmetry_equiv_pos_as_xyz
'x,y,z'
loop_
_atom_site_label
_atom_site_type_symbol
_atom_site_fract_x
_atom_site_fract_y
_atom_site_fract_z
La1 La 0.000 0.000 0.000
Ge1 Ge 0.127 0.624 0.624
Ge2 Ge 0.624 0.127 0.624
Ge3 Ge 0.624 0.624 0.127
Ge4 Ge 0.624 0.624 0.624
Sb1 Sb 0.250 0.250 0.250
```

No. 3
Entry from Alexandria: a geometry-optimized TbThCoPd structure (GGA-PBE).

Computed properties:
symmetry = Amm2 (38)
energy above the lowest structure with this stoichiometry = 0.0 meV per atom

```
data_TbThCoPd
_chemical_formula_sum 'Tb1 Th1 Co1 Pd1'
_cell_length_a 4.007
_cell_length_b 6.051
_cell_length_c 6.051
_cell_angle_alpha 36.70
_cell_angle_beta 90.00
_cell_angle_gamma 90.00
_symmetry_space_group_name_H-M 'P 1'
_symmetry_Int_Tables_number 1
loop_
_symmetry_equiv_pos_as_xyz
'x,y,z'
loop_
_atom_site_label
_atom_site_type_symbol
_atom_site_fract_x
_atom_site_fract_y
_atom_site_fract_z
Tb1 Tb 0.000 0.000 0.000
Th1 Th 0.500 0.720 0.720
Co1 Co 0.000 0.252 0.252
Pd1 Pd 0.500 0.433 0.433
```

No. 4
Entry from Alexandria: a geometry-optimized Y2PuSc structure (GGA-PBE).

Computed properties:
symmetry = R3m (160)
energy above the lowest structure with this stoichiometry = 0.0 meV per atom

```
data_Y2PuSc
_chemical_formula_sum 'Y2 Pu1 Sc1'
_cell_length_a 11.320
_cell_length_b 11.320
_cell_length_c 11.320
_cell_angle_alpha 17.69
_cell_angle_beta 17.69
_cell_angle_gamma 17.69
_symmetry_space_group_name_H-M 'P 1'
_symmetry_Int_Tables_number 1
loop_
_symmetry_equiv_pos_as_xyz
'x,y,z'
loop_
_atom_site_label
_atom_site_type_symbol
_atom_site_fract_x
_atom_site_fract_y
_atom_site_fract_z
Y1 Y 0.000 0.000 0.000
Y2 Y 0.163 0.163 0.163
Pu1 Pu 0.581 0.581 0.581
Sc1 Sc 0.415 0.415 0.415
```

No. 5
Entry from Alexandria: a geometry-optimized Ac3Nd4Ag4 structure (GGA-PBE).

Computed properties:
symmetry = Immm (71)

```
data_Ac3Nd4Ag4
_chemical_formula_sum 'Ac3 Nd4 Ag4'
_cell_length_a 9.630
_cell_length_b 9.630
_cell_length_c 9.630
_cell_angle_alpha 148.43
_cell_angle_beta 130.39
_cell_angle_gamma 60.00
_symmetry_space_group_name_H-M 'P 1'
_symmetry_Int_Tables_number 1
loop_
_symmetry_equiv_pos_as_xyz
'x,y,z'
loop_
_atom_site_label
_atom_site_type_symbol
_atom_site_fract_x
_atom_site_fract_y
_atom_site_fract_z
Ac1 Ac 0.000 0.000 0.000
Ac2 Ac 0.391 0.891 0.500
Ac3 Ac 0.609 0.109 0.500
Nd1 Nd 0.041 0.325 0.716
Nd2 Nd 0.391 0.675 0.716
Nd3 Nd 0.609 0.325 0.284
Nd4 Nd 0.959 0.675 0.284
Ag1 Ag 0.204 0.204 0.000
Ag2 Ag 0.319 0.500 0.819
Ag3 Ag 0.681 0.500 0.181
Ag4 Ag 0.796 0.796 0.000
```

No. 6
Entry from Alexandria: a geometry-optimized Mg2InMo2 structure (GGA-PBE).

Computed properties:
symmetry = I4/mmm (139)

```
data_Mg2InMo2
_chemical_formula_sum 'Mg2 In1 Mo2'
_cell_length_a 7.302
_cell_length_b 7.302
_cell_length_c 7.302
_cell_angle_alpha 149.38
_cell_angle_beta 149.38
_cell_angle_gamma 43.85
_symmetry_space_group_name_H-M 'P 1'
_symmetry_Int_Tables_number 1
loop_
_symmetry_equiv_pos_as_xyz
'x,y,z'
loop_
_atom_site_label
_atom_site_type_symbol
_atom_site_fract_x
_atom_site_fract_y
_atom_site_fract_z
Mg1 Mg 0.250 0.750 0.500
Mg2 Mg 0.750 0.250 0.500
In1 In 0.000 0.000 0.000
Mo1 Mo 0.415 0.415 0.000
Mo2 Mo 0.585 0.585 0.000
```

No. 7
Entry from Alexandria: a geometry-optimized In3Hg3Se8 structure (GGA-PBE).

Computed properties:
symmetry = R-3m (166)

```
data_In3Hg3Se8
_chemical_formula_sum 'In3 Hg3 Se8'
_cell_length_a 8.184
_cell_length_b 8.184
_cell_length_c 8.184
_cell_angle_alpha 60.50
_cell_angle_beta 60.50
_cell_angle_gamma 60.50
_symmetry_space_group_name_H-M 'P 1'
_symmetry_Int_Tables_number 1
loop_
_symmetry_equiv_pos_as_xyz
'x,y,z'
loop_
_atom_site_label
_atom_site_type_symbol
_atom_site_fract_x
_atom_site_fract_y
_atom_site_fract_z
In1 In 0.000 0.500 0.500
In2 In 0.500 0.000 0.500
In3 In 0.500 0.500 0.000
Hg1 Hg 0.123 0.123 0.123
Hg2 Hg 0.500 0.500 0.500
Hg3 Hg 0.877 0.877 0.877
Se1 Se 0.258 0.258 0.720
Se2 Se 0.258 0.720 0.258
Se3 Se 0.259 0.259 0.259
Se4 Se 0.280 0.742 0.742
Se5 Se 0.720 0.258 0.258
Se6 Se 0.741 0.741 0.741
Se7 Se 0.742 0.280 0.742
Se8 Se 0.742 0.742 0.280
```

No. 8
Entry from Alexandria: a geometry-optimized KNb3P structure (GGA-PBE).

Computed properties:
symmetry = Pm-3m (221)
energy above the lowest structure with this stoichiometry = 1956.2 meV per atom

```
data_KNb3P
_chemical_formula_sum 'K1 Nb3 P1'
_cell_length_a 4.627
_cell_length_b 4.627
_cell_length_c 4.627
_cell_angle_alpha 90.00
_cell_angle_beta 90.00
_cell_angle_gamma 90.00
_symmetry_space_group_name_H-M 'P 1'
_symmetry_Int_Tables_number 1
loop_
_symmetry_equiv_pos_as_xyz
'x,y,z'
loop_
_atom_site_label
_atom_site_type_symbol
_atom_site_fract_x
_atom_site_fract_y
_atom_site_fract_z
K1 K 0.000 0.000 0.000
Nb1 Nb 0.000 0.000 0.500
Nb2 Nb 0.000 0.500 0.000
Nb3 Nb 0.500 0.000 0.000
P1 P 0.500 0.500 0.500
```

One value per record, in order, for VASP energy: -5.66 -4.79 -6.66 -8.28 -4.01 -4.83 -2.94 -4.65 eV per atom.